Computed, not measured: Be2Ni8B after structural relaxation at the PBE level of DFT.

Unit cell a=13.0365 b=3.5872 c=4.7583 alpha=90.00 beta=104.01 gamma=90.00
Space group C2/m (No. 12)
Symmetry-distinct sites (fractional):
1 Be 0.1849 0.0000 0.2447 [4 per cell]
2 Ni 0.0197 0.0000 0.2670 [4 per cell]
3 Ni 0.0964 0.5000 0.9546 [4 per cell]
4 Ni 0.1475 0.5000 0.4798 [4 per cell]
5 Ni 0.2123 0.0000 0.8086 [4 per cell]
6 B 0.0000 0.5000 0.5000 [2 per cell]

- DOS at the Fermi energy (states/eV/cell) = 26.64
- size of the total moment (μB per atom) = 0.00
- ΔH_f (0 K) (meV/atom) = -163
- ρ (Mg/m³) = 7.666